Record 1
# TlIrPt2 | Alexandria | PBEsol | relaxed
# relative energy among the computed polymorphs: 0.000 eV/atom
# Fermi-level density of states: 3.0 states/eV per cell
# crystal system: monoclinic
data_TlIrPt2
_chemical_formula_sum 'Tl1 Ir1 Pt2'
_symmetry_space_group_name_H-M 'P 1 2/m 1'
_symmetry_Int_Tables_number 10
_symmetry_space_group_name_Hall '-P 2y'
_cell_length_a 2.7760
_cell_length_b 3.6290
_cell_length_c 6.7793
_cell_angle_alpha 90.00
_cell_angle_beta 97.26
_cell_angle_gamma 90.00
loop_
_atom_site_label
_atom_site_fract_x
_atom_site_fract_y
_atom_site_fract_z
Tl1 0.0000 0.0000 0.0000
Ir1 0.0000 0.0000 0.5000
Pt1 0.4271 0.5000 0.2860


Record 2
# Tl2IrPt | Alexandria | PBEsol | relaxed
# relative energy among the computed polymorphs: 0.059 eV/atom
# Fermi-level density of states: 3.0 states/eV per cell
# crystal system: tetragonal
data_Tl2IrPt
_chemical_formula_sum 'Tl4 Ir2 Pt2'
_symmetry_space_group_name_H-M 'I 4/m m m'
_symmetry_Int_Tables_number 139
_symmetry_space_group_name_Hall '-I 4 2'
_cell_length_a 4.3366
_cell_length_b 4.3366
_cell_length_c 7.6859
_cell_angle_alpha 90.00
_cell_angle_beta 90.00
_cell_angle_gamma 90.00
loop_
_atom_site_label
_atom_site_fract_x
_atom_site_fract_y
_atom_site_fract_z
Tl1 0.0000 0.5000 0.2500
Ir1 0.0000 0.0000 0.0000
Pt1 0.0000 0.0000 0.5000


Record 3
# Tl3IrPt | Alexandria | PBEsol | relaxed
# Fermi-level density of states: 3.7 states/eV per cell
# crystal system: cubic
# raw total energy: -4.248 eV/atom
data_Tl3IrPt
_chemical_formula_sum 'Tl3 Ir1 Pt1'
_symmetry_space_group_name_H-M 'P m -3 m'
_symmetry_Int_Tables_number 221
_symmetry_space_group_name_Hall '-P 4 2 3'
_cell_length_a 5.1079
_cell_length_b 5.1079
_cell_length_c 5.1079
_cell_angle_alpha 90.00
_cell_angle_beta 90.00
_cell_angle_gamma 90.00
loop_
_atom_site_label
_atom_site_fract_x
_atom_site_fract_y
_atom_site_fract_z
Tl1 0.0000 0.0000 0.5000
Ir1 0.0000 0.0000 0.0000
Pt1 0.5000 0.5000 0.5000


Record 4
# Tl2IrPt | Alexandria | PBEsol | relaxed
# relative energy among the computed polymorphs: 0.104 eV/atom
# Fermi-level density of states: 1.6 states/eV per cell
# crystal system: orthorhombic
data_Tl2IrPt
_chemical_formula_sum 'Tl2 Ir1 Pt1'
_symmetry_space_group_name_H-M 'P m m 2'
_symmetry_Int_Tables_number 25
_symmetry_space_group_name_Hall 'P 2 -2'
_cell_length_a 3.0576
_cell_length_b 4.3875
_cell_length_c 5.6142
_cell_angle_alpha 90.00
_cell_angle_beta 90.00
_cell_angle_gamma 90.00
loop_
_atom_site_label
_atom_site_fract_x
_atom_site_fract_y
_atom_site_fract_z
Tl1 0.0000 0.0000 0.0000
Tl2 0.5000 0.5000 0.3698
Ir1 0.0000 0.0000 0.5009
Pt1 0.5000 0.5000 0.8550


Fermi-level density of states of number 3 (Tl3IrPt)? 3.7 states/eV per cell


The highest Fermi-level density of states belongs to which entry? Tl3IrPt


What is the Fermi-level density of states in the first record? 3.0 states/eV per cell


Among the records above, which one has the lowest Fermi-level density of states? number 4